Material: CsPmNiF6
Method: DFT, PBE with a Hubbard U
State: relaxed

Values from the calculation:
- Raw total energy: -5.303 eV per atom
- Total magnetic moment: 0.222 μB/atom
- Crystal system: orthorhombic
- Space group: No. 74

Cell lengths 7.5439, 7.5439, 7.5439 Å; angles 120.16, 116.14, 93.27 degrees
Sites, in units of the cell vectors:
1 Cs 0.3405 0.0905 0.2500
2 Cs 0.6595 0.9095 0.7500
3 Pm 0.0000 0.5000 0.5000
4 Pm 0.5000 0.5000 0.0000
5 Ni 0.0000 0.0000 0.5000
6 Ni 0.0000 0.5000 0.0000
7 F 0.0510 0.3563 0.1754
8 F 0.0510 0.8756 0.6946
9 F 0.0744 0.3244 0.7500
10 F 0.3191 0.1244 0.6754
11 F 0.3191 0.6437 0.1946
12 F 0.3595 0.6095 0.7500
13 F 0.6405 0.3905 0.2500
14 F 0.6809 0.3563 0.8054
15 F 0.6809 0.8756 0.3246
16 F 0.9256 0.6756 0.2500
17 F 0.9490 0.1244 0.3054
18 F 0.9490 0.6437 0.8246